# 1
Compound: Sc2MnCl
Source: the Alexandria database
Functional: GGA-PBE
Structure: relaxed

Cell lengths 3.302, 3.302, 7.914 Å; angles 77.95, 77.95, 59.99 degrees
Atoms (fractional coordinates):
1 Cl 0.750 0.750 0.750
2 Mn 0.250 0.250 0.250
3 Sc 0.993 0.993 0.020
4 Sc 0.507 0.507 0.480

## Properties
Total magnetization ... 0.06 μB/cell
Formation energy from raw total energies ... -0.49 eV/atom
Space group ... No. 166
Total energy ... -25.64 eV/f.u.
N(E_F) ... 0.729 states/eV/atom
Energy above the lowest structure with this stoichiometry ... 103.3 meV per atom

# 2
Compound: TePb
Source: the Alexandria database
Functional: GGA-PBE
Structure: relaxed

Cell lengths 4.437, 4.437, 4.191 Å; angles 90.00, 90.00, 120.00 degrees
Atoms (fractional coordinates):
1 Pb 0.000 0.000 0.000
2 Te 0.333 0.667 0.500

## Properties
Total magnetization ... 0.00 μB/cell
Formation energy from raw total energies ... -0.29 eV/atom
Space group ... No. 187
Total energy ... -7.43 eV/f.u.
N(E_F) ... 0.466 states/eV/atom